No. 1
A plane-wave DFT calculation with GGA-PBE was carried out for a relaxed structure of CaMoP2Os.

Calculated formation energy in eV/atom: -0.6013

Lattice parameters (Å, degrees): 4.1922 4.1922 9.6923 90.00 90.00 90.00
Last column: nearest neighbours and their distance in Å.
Space group I-4m2 (No. 119)
One atom of each set of equivalent atoms:
Ca (0.0000, 0.0000, 0.0000) (multiplicity 2)  4 Mo 3.20, 4 Os 3.20, 10 P 3.23-3.56
Mo (0.0000, 0.5000, 0.2500) (multiplicity 2)  4 P 2.39
P (0.0000, 0.0000, 0.3675) (multiplicity 4)  2 Mo 2.39, 2 Os 2.39, 1 P 2.57
Os (0.0000, 0.5000, 0.7500) (multiplicity 2)  4 P 2.39

***

No. 2
A plane-wave DFT calculation with GGA-PBE was carried out for a relaxed structure of CaMoOs2Rh.

Calculated formation energy in eV/atom: 1.8244

Lattice parameters (Å, degrees): 4.6539 4.6539 5.0475 90.00 90.00 90.00
Last column: nearest neighbours and their distance in Å.
Space group P4/mmm (No. 123)
One atom of each set of equivalent atoms:
Ca (0.0000, 0.0000, 0.0000) (multiplicity 1)  2 Mo 2.52
Mo (0.0000, 0.0000, 0.5000) (multiplicity 1)  4 Os 2.33, 2 Ca 2.52
Os (0.0000, 0.5000, 0.5000) (multiplicity 2)  2 Mo 2.33
Rh (0.5000, 0.5000, 0.0000) (multiplicity 1)  4 Ca 3.29, 8 Os 3.43

***

No. 3
A plane-wave DFT calculation with GGA-PBE was carried out for a relaxed structure of CaSbMoOs2.

Formation energy without anion corrections in eV/atom: 1.401

Lattice parameters (Å, degrees): 4.7372 4.7372 5.2288 90.00 90.00 90.00
Last column: nearest neighbours and their distance in Å.
Space group P4/mmm (No. 123)
One atom of each set of equivalent atoms:
Ca (0.0000, 0.0000, 0.0000) (multiplicity 1)  2 Mo 2.61
Sb (0.5000, 0.5000, 0.0000) (multiplicity 1)  4 Ca 3.35, 8 Os 3.53
Mo (0.0000, 0.0000, 0.5000) (multiplicity 1)  4 Os 2.37, 2 Ca 2.61
Os (0.0000, 0.5000, 0.5000) (multiplicity 2)  2 Mo 2.37

***

No. 4
A plane-wave DFT calculation with GGA-PBE was carried out for a relaxed structure of SrCaMo2Os.

Calculated formation energy in eV/atom: 0.9139

Lattice parameters (Å, degrees): 4.9062 4.9062 5.4508 90.00 90.00 90.00
Last column: nearest neighbours and their distance in Å.
Space group P4/mmm (No. 123)
One atom of each set of equivalent atoms:
Sr (0.0000, 0.0000, 0.0000) (multiplicity 1)  4 Ca 3.47, 8 Mo 3.67
Ca (0.5000, 0.5000, 0.0000) (multiplicity 1)  2 Os 2.73
Mo (0.0000, 0.5000, 0.5000) (multiplicity 2)  2 Os 2.45
Os (0.5000, 0.5000, 0.5000) (multiplicity 1)  4 Mo 2.45, 2 Ca 2.73

***

No. 5
A plane-wave DFT calculation with GGA-PBE was carried out for a relaxed structure of CaZn2MoOs.

Calculated formation energy in eV/atom: 2.2707

Lattice parameters (Å, degrees): 4.7303 4.7303 4.6118 90.00 90.00 90.00
Last column: nearest neighbours and their distance in Å.
Space group P4/mmm (No. 123)
One atom of each set of equivalent atoms:
Ca (0.0000, 0.0000, 0.0000) (multiplicity 1)  2 Os 2.31, 4 Zn 2.37
Zn (0.0000, 0.5000, 0.0000) (multiplicity 2)  2 Ca 2.37
Mo (0.5000, 0.5000, 0.5000) (multiplicity 1)  8 Zn 3.30, 4 Os 3.34
Os (0.0000, 0.0000, 0.5000) (multiplicity 1)  2 Ca 2.31

***

No. 6
A plane-wave DFT calculation with GGA-PBE was carried out for a relaxed structure of CaMoP2.

Calculated formation energy in eV/atom: -0.2386
Excess energy over the best structure of this formula in the dataset in eV/atom: 0.494

Lattice parameters (Å, degrees): 3.5418 5.4872 7.6151 90.00 90.00 90.00
Last column: nearest neighbours and their distance in Å.
Space group Immm (No. 71)
One atom of each set of equivalent atoms:
Ca (0.0000, 0.0000, 0.0000) (multiplicity 2)  4 P 2.77
Mo (0.0000, 0.0000, 0.5000) (multiplicity 2)  4 P 2.44
P (0.0000, 0.5000, 0.2208) (multiplicity 4)  2 Mo 2.44

***

No. 7
A plane-wave DFT calculation with GGA-PBE was carried out for a relaxed structure of Ca4MoP.

Calculated formation energy in eV/atom: 0.9515

Lattice parameters (Å, degrees): 8.8741 8.8741 8.8741 90.00 90.00 90.00
Last column: nearest neighbours and their distance in Å.
Space group F-43m (No. 216)
One atom of each set of equivalent atoms:
Ca (0.1247, 0.1247, 0.1247) (multiplicity 16)  6 Ca 3.13-3.14
Mo (0.2500, 0.2500, 0.7500) (multiplicity 4)  12 Ca 3.68, 4 P 3.84
P (0.0000, 0.0000, 0.5000) (multiplicity 4)  12 Ca 3.68, 4 Mo 3.84

***

No. 8
A plane-wave DFT calculation with GGA-PBE was carried out for a relaxed structure of CaMo2P.

Calculated formation energy in eV/atom: 0.4635

Lattice parameters (Å, degrees): 5.5299 9.8242 3.1282 90.00 124.42 90.00
Last column: nearest neighbours and their distance in Å.
Space group C2/m (No. 12)
One atom of each set of equivalent atoms:
Ca (0.0000, 0.0000, 0.0000) (multiplicity 2)  4 P 2.76-2.77, 4 Mo 2.82
Mo (0.2500, 0.2500, 0.5000) (multiplicity 4)  4 Mo 2.76-2.77, 2 Ca 2.82, 2 P 2.82
P (0.0000, 0.5000, 0.0000) (multiplicity 2)  4 Ca 2.76-2.77, 4 Mo 2.82

***

No. 9
A plane-wave DFT calculation with GGA-PBE was carried out for a relaxed structure of CaMo2P.

Calculated formation energy in eV/atom: 0.4207

Lattice parameters (Å, degrees): 3.8226 3.8226 9.6284 90.00 90.00 90.00
Last column: nearest neighbours and their distance in Å.
Space group I4/mmm (No. 139)
One atom of each set of equivalent atoms:
Ca (0.0000, 0.0000, 0.0000) (multiplicity 2)  4 P 2.70
Mo (0.0000, 0.5000, 0.2500) (multiplicity 4)  4 Mo 2.70
P (0.0000, 0.0000, 0.5000) (multiplicity 2)  4 Ca 2.70

***

No. 10
A plane-wave DFT calculation with GGA-PBE was carried out for a relaxed structure of Ca2MoP2.

Calculated formation energy in eV/atom: -0.6273

Lattice parameters (Å, degrees): 6.6258 6.6258 4.3744 90.00 90.00 90.00
Last column: nearest neighbours and their distance in Å.
Space group P4/mbm (No. 127)
One atom of each set of equivalent atoms:
Ca (0.1721, 0.3279, 0.0000) (multiplicity 4)  6 P 2.81-3.02
Mo (0.0000, 0.0000, 0.5000) (multiplicity 2)  4 P 2.56
P (0.1400, 0.6400, 0.5000) (multiplicity 4)  2 Mo 2.56, 1 P 2.62, 2 Ca 2.81

***

No. 11
A plane-wave DFT calculation with GGA-PBE was carried out for a relaxed structure of CaMo2P.

Calculated formation energy in eV/atom: -0.0660

Lattice parameters (Å, degrees): 3.3270 4.0704 6.1031 90.00 105.74 90.00
Last column: nearest neighbours and their distance in Å.
Space group Pm (No. 6)
One atom of each set of equivalent atoms:
Ca (0.0000, 0.0000, 0.0000) (multiplicity 1)  4 P 2.94, 3 Mo 3.07-3.26
Mo (0.2628, 0.0000, 0.5225) (multiplicity 1)  2 P 2.53, 4 Mo 2.65
Mo (0.7353, 0.5000, 0.4670) (multiplicity 1)  2 P 2.47, 4 Mo 2.65
P (0.3895, 0.5000, 0.7769) (multiplicity 1)  4 Mo 2.47-2.53

***

No. 12
A plane-wave DFT calculation with GGA-PBE was carried out for a relaxed structure of CaMoP2.

Calculated formation energy in eV/atom: -0.0942
Excess energy over the best structure of this formula in the dataset in eV/atom: 0.638

Lattice parameters (Å, degrees): 6.1811 7.0691 3.2596 90.00 105.94 90.00
Last column: nearest neighbours and their distance in Å.
Space group C2/m (No. 12)
One atom of each set of equivalent atoms:
Ca (0.0000, 0.0000, 0.0000) (multiplicity 2)  4 P 2.60
Mo (0.0000, 0.5000, 0.0000) (multiplicity 2)  4 P 2.60
P (0.2500, 0.2500, 0.5000) (multiplicity 4)  2 Mo 2.60, 2 Ca 2.60

***

No. 13
A plane-wave DFT calculation with GGA-PBE was carried out for a relaxed structure of CaMoP2.

Calculated formation energy in eV/atom: -0.6382
Excess energy over the best structure of this formula in the dataset in eV/atom: 0.094

Lattice parameters (Å, degrees): 3.5876 3.5876 19.8761 90.00 90.00 120.00
Last column: nearest neighbours and their distance in Å.
Space group R-3m (No. 166, hexagonal axes)
One atom of each set of equivalent atoms:
Ca (0.0000, 0.0000, 0.0000) (multiplicity 3)  6 P 2.82
Mo (0.0000, 0.0000, 0.5000) (multiplicity 3)  6 P 2.50
P (0.0000, 0.0000, 0.2372) (multiplicity 6)  3 Mo 2.50

***

No. 14
A plane-wave DFT calculation with GGA-PBE was carried out for a relaxed structure of CaMo4P.

Calculated formation energy in eV/atom: 0.6058

Lattice parameters (Å, degrees): 7.5583 7.5583 7.5583 90.00 90.00 90.00
Last column: nearest neighbours and their distance in Å.
Space group F-43m (No. 216)
One atom of each set of equivalent atoms:
Ca (0.0000, 0.0000, 0.0000) (multiplicity 4)  12 Mo 3.14, 4 P 3.27
Mo (0.1236, 0.1236, 0.6236) (multiplicity 16)  6 Mo 2.64-2.70
P (0.2500, 0.2500, 0.2500) (multiplicity 4)  12 Mo 3.13, 4 Ca 3.27

***

No. 15
A plane-wave DFT calculation with GGA-PBE was carried out for a relaxed structure of CaMo2P.

Calculated formation energy in eV/atom: -0.0429

Lattice parameters (Å, degrees): 3.2520 3.2520 6.9684 90.00 90.00 90.00
Last column: nearest neighbours and their distance in Å.
Space group P4mm (No. 99)
One atom of each set of equivalent atoms:
Ca (0.0000, 0.0000, 0.0000) (multiplicity 1)  4 P 3.06, 4 Ca 3.25, 5 Mo 3.26-3.28
Mo (0.0000, 0.0000, 0.5317) (multiplicity 1)  4 P 2.61, 4 Mo 2.68
Mo (0.5000, 0.5000, 0.3348) (multiplicity 1)  1 P 2.61, 4 Mo 2.68
P (0.5000, 0.5000, 0.7096) (multiplicity 1)  5 Mo 2.61

***

Listing size of the total moment for the structures above in their given order: 0.00, 0.00, 0.00, 2.47, 0.00, 0.00, 3.09, 0.00, 0.00, 0.00, 0.00, 0.00, 0.00, 0.00, 0.00 μB/f.u..